# ZrPHCl2 GGA-PBE optimized geometry
data_ZrPHCl2
_cell_length_a 5.1316
_cell_length_b 5.1316
_cell_length_c 5.0918
_cell_angle_alpha 90.00
_cell_angle_beta 90.00
_cell_angle_gamma 90.00
_symmetry_space_group_name_H-M 'P 1'
_symmetry_Int_Tables_number 1
loop_
_symmetry_equiv_pos_as_xyz
'x,y,z'
loop_
_atom_site_label
_atom_site_type_symbol
_atom_site_fract_x
_atom_site_fract_y
_atom_site_fract_z
Zr1 Zr 0.0000 0.0000 0.0000
P1 P 0.0000 0.0000 0.5000
H1 H 0.5000 0.5000 0.5000
Cl1 Cl 0.0000 0.5000 0.0000
Cl2 Cl 0.5000 0.0000 0.0000
# Space group: P4/mmm (123)
# Total DFT energy (no corrections): -21.9 eV/cell